{
  "formula": "LaMn2Br",
  "functional": "GGA-PBE",
  "state": "relaxed",
  "formation_energy_uncorrected_ev_per_atom": 0.158,
  "e_tot_ry_per_atom": -0.447,
  "density_g_cm3": 5.8,
  "crystal_system": "orthorhombic",
  "magnetic_moment_mub_per_atom": 1.987,
  "e_above_lowest_polymorph_mev_per_atom": 234,
  "dos_at_fermi_per_ev_cell": 3.25,
  "spacegroup": "Pmmm (47)",
  "lattice": [[3.413, 0.000, 0.000], [0.000, 4.999, 0.000], [0.000, 0.000, 5.491]],
  "species": ["La", "Mn", "Mn", "Br"],
  "fractional_positions": [[0.000, 0.000, 0.000], [0.000, 0.500, 0.500], [0.500, 0.000, 0.500], [0.500, 0.500, 0.000]]
}